1.
Compound: LiHfInPd
Source: OQMD via LeMat-Bulk
Functional: PBE
Structure: optimized geometry

The energy above the most stable polymorph in this dataset is 316 meV per atom.

It has space group F-43m (No. 216), with a = 6.563 Å, b = 6.563 Å, c = 6.563 Å, α = 90.00°, β = 90.00° and γ = 90.00°. The asymmetric unit holds Li at (0.000, 0.000, 0.000), Hf at (0.250, 0.250, 0.750), In at (0.000, 0.000, 0.500) and Pd at (0.250, 0.250, 0.250).

=====

2.
Compound: Li2Hf2In2PdPt
Source: OQMD via LeMat-Bulk
Functional: PBE
Structure: optimized geometry

It has space group P-4m2 (No. 115), with a = 4.594 Å, b = 4.594 Å, c = 6.502 Å, α = 90.00°, β = 90.00° and γ = 90.00°. The asymmetric unit holds Li at (0.000, 0.000, 0.000), Li at (0.500, 0.500, 0.500), Hf at (0.000, 0.500, 0.247), In at (0.000, 0.500, 0.745), Pd at (0.000, 0.000, 0.500) and Pt at (0.500, 0.500, 0.000).

=====

3.
Compound: Li2HfScIn2Pd2
Source: OQMD via LeMat-Bulk
Functional: PBE
Structure: optimized geometry

It has space group P-4m2 (No. 115), with a = 4.625 Å, b = 4.625 Å, c = 6.525 Å, α = 90.00°, β = 90.00° and γ = 90.00°. The asymmetric unit holds Li at (0.000, 0.500, 0.248), Hf at (0.000, 0.000, 0.500), Sc at (0.500, 0.500, 0.000), In at (0.000, 0.000, 0.000), In at (0.500, 0.500, 0.500) and Pd at (0.000, 0.500, 0.742).

=====

Calculated total magnetization in order - 0.000 0.001 0.011 μB/f.u.
Calculated uncorrected energy in order - -5.151 -5.681 -5.066 eV per atom